Record 1
ReBiOs: relaxed, PBE-GGA.

Computed properties:
Total energy, eV per atom: -8.46
Crystal system: hexagonal
Excess energy over the best structure of this formula in the dataset, kcal/mol of atoms: 0.00

Structure (CIF):
```
data_ReBiOs
_cell_length_a 6.707
_cell_length_b 6.707
_cell_length_c 4.406
_cell_angle_alpha 90.00
_cell_angle_beta 90.00
_cell_angle_gamma 120.00
_space_group_name_H-M_alt 'P 1'
_space_group_IT_number 1
_space_group_name_Hall 'P 1'
loop_
_atom_site_label
_atom_site_fract_x
_atom_site_fract_y
_atom_site_fract_z
_atom_site_occupancy
Bi1 0.590 0.000 0.500 1
Bi2 0.410 0.410 0.500 1
Bi3 0.000 0.590 0.500 1
Os1 0.253 0.000 0.000 1
Os2 0.000 0.253 0.000 1
Os3 0.747 0.747 0.000 1
Re1 0.667 0.333 0.000 1
Re2 0.333 0.667 0.000 1
Re3 0.000 0.000 0.500 1
```

Record 2
Bi10OsS10: relaxed, PBE-GGA.

Computed properties:
Total energy, eV per atom: -4.49
Crystal system: orthorhombic

Structure (CIF):
```
data_Bi10OsS10
_cell_length_a 10.785
_cell_length_b 8.525
_cell_length_c 12.988
_cell_angle_alpha 90.00
_cell_angle_beta 90.00
_cell_angle_gamma 90.00
_space_group_name_H-M_alt 'P 1'
_space_group_IT_number 1
_space_group_name_Hall 'P 1'
loop_
_atom_site_label
_atom_site_fract_x
_atom_site_fract_y
_atom_site_fract_z
_atom_site_occupancy
Bi1 0.000 0.229 0.000 1
Bi2 0.000 0.771 0.000 1
Bi3 0.637 0.226 0.095 1
Bi4 0.637 0.774 0.095 1
Bi5 0.349 0.000 0.168 1
Bi6 0.245 0.500 0.178 1
Bi7 0.745 0.500 0.322 1
Bi8 0.849 0.000 0.332 1
Bi9 0.137 0.226 0.405 1
Bi10 0.137 0.774 0.405 1
Bi11 0.500 0.229 0.500 1
Bi12 0.500 0.771 0.500 1
Bi13 0.863 0.226 0.595 1
Bi14 0.863 0.774 0.595 1
Bi15 0.151 0.000 0.668 1
Bi16 0.255 0.500 0.678 1
Bi17 0.755 0.500 0.822 1
Bi18 0.651 0.000 0.832 1
Bi19 0.363 0.226 0.905 1
Bi20 0.363 0.774 0.905 1
Os1 0.500 0.000 0.000 1
Os2 0.000 0.000 0.500 1
S1 0.824 0.500 0.013 1
S2 0.858 0.000 0.086 1
S3 0.494 0.500 0.149 1
S4 0.148 0.198 0.186 1
S5 0.148 0.802 0.186 1
S6 0.648 0.198 0.314 1
S7 0.648 0.802 0.314 1
S8 0.994 0.500 0.351 1
S9 0.358 0.000 0.414 1
S10 0.324 0.500 0.487 1
S11 0.676 0.500 0.513 1
S12 0.642 0.000 0.586 1
S13 0.006 0.500 0.649 1
S14 0.352 0.198 0.686 1
S15 0.352 0.802 0.686 1
S16 0.852 0.198 0.814 1
S17 0.852 0.802 0.814 1
S18 0.506 0.500 0.851 1
S19 0.142 0.000 0.914 1
S20 0.176 0.500 0.987 1
```

Record 3
Sc2BiOs: relaxed, PBE-GGA.

Computed properties:
Total energy, eV per atom: -7.04
Crystal system: cubic

Structure (CIF):
```
data_Sc2BiOs
_cell_length_a 4.808
_cell_length_b 4.808
_cell_length_c 4.808
_cell_angle_alpha 60.00
_cell_angle_beta 60.00
_cell_angle_gamma 60.00
_space_group_name_H-M_alt 'P 1'
_space_group_IT_number 1
_space_group_name_Hall 'P 1'
loop_
_atom_site_label
_atom_site_fract_x
_atom_site_fract_y
_atom_site_fract_z
_atom_site_occupancy
Bi1 0.500 0.500 0.500 1
Os1 0.250 0.250 0.250 1
Sc1 0.000 0.000 0.000 1
Sc2 0.750 0.750 0.750 1
```

Record 4
ScBi2Os: relaxed, PBE-GGA.

Computed properties:
Total energy, eV per atom: -6.02
Crystal system: cubic

Structure (CIF):
```
data_ScBi2Os
_cell_length_a 5.028
_cell_length_b 5.028
_cell_length_c 5.028
_cell_angle_alpha 60.00
_cell_angle_beta 60.00
_cell_angle_gamma 60.00
_space_group_name_H-M_alt 'P 1'
_space_group_IT_number 1
_space_group_name_Hall 'P 1'
loop_
_atom_site_label
_atom_site_fract_x
_atom_site_fract_y
_atom_site_fract_z
_atom_site_occupancy
Bi1 0.250 0.250 0.250 1
Bi2 0.500 0.500 0.500 1
Os1 0.750 0.750 0.750 1
Sc1 0.000 0.000 0.000 1
```

Record 5
Y3Sc3BiTeOs: relaxed, PBE-GGA.

Computed properties:
Total energy, eV per atom: -7.02
Crystal system: hexagonal

Structure (CIF):
```
data_Y3Sc3BiTeOs
_cell_length_a 7.956
_cell_length_b 7.956
_cell_length_c 4.125
_cell_angle_alpha 90.00
_cell_angle_beta 90.00
_cell_angle_gamma 120.00
_space_group_name_H-M_alt 'P 1'
_space_group_IT_number 1
_space_group_name_Hall 'P 1'
loop_
_atom_site_label
_atom_site_fract_x
_atom_site_fract_y
_atom_site_fract_z
_atom_site_occupancy
Bi1 0.000 0.000 0.000 1
Os1 0.667 0.333 0.500 1
Sc1 0.441 0.107 0.000 1
Sc2 0.893 0.334 0.000 1
Sc3 0.666 0.559 0.000 1
Te1 0.333 0.667 0.000 1
Y1 0.279 0.336 0.500 1
Y2 0.056 0.721 0.500 1
Y3 0.664 0.944 0.500 1
```

Record 6
Tm3Sc3Bi2Os: relaxed, PBE-GGA.

Computed properties:
Total energy, eV per atom: -6.34
Crystal system: hexagonal
Excess energy over the best structure of this formula in the dataset, kcal/mol of atoms: 0.00

Structure (CIF):
```
data_Tm3Sc3Bi2Os
_cell_length_a 7.905
_cell_length_b 7.905
_cell_length_c 4.192
_cell_angle_alpha 90.00
_cell_angle_beta 90.00
_cell_angle_gamma 120.00
_space_group_name_H-M_alt 'P 1'
_space_group_IT_number 1
_space_group_name_Hall 'P 1'
loop_
_atom_site_label
_atom_site_fract_x
_atom_site_fract_y
_atom_site_fract_z
_atom_site_occupancy
Bi1 0.667 0.333 0.500 1
Bi2 0.333 0.667 0.500 1
Os1 0.000 0.000 0.000 1
Sc1 0.225 0.000 0.500 1
Sc2 0.000 0.225 0.500 1
Sc3 0.775 0.775 0.500 1
Tm1 0.617 0.000 0.000 1
Tm2 0.383 0.383 0.000 1
Tm3 0.000 0.617 0.000 1
```

Record 7
Tm3Sc3Bi2Os: relaxed, PBE-GGA.

Computed properties:
Total energy, eV per atom: -6.23
Crystal system: hexagonal
Excess energy over the best structure of this formula in the dataset, kcal/mol of atoms: 2.64

Structure (CIF):
```
data_Tm3Sc3Bi2Os
_cell_length_a 8.067
_cell_length_b 8.067
_cell_length_c 4.068
_cell_angle_alpha 90.00
_cell_angle_beta 90.00
_cell_angle_gamma 120.00
_space_group_name_H-M_alt 'P 1'
_space_group_IT_number 1
_space_group_name_Hall 'P 1'
loop_
_atom_site_label
_atom_site_fract_x
_atom_site_fract_y
_atom_site_fract_z
_atom_site_occupancy
Bi1 0.667 0.333 0.500 1
Bi2 0.333 0.667 0.500 1
Os1 0.000 0.000 0.000 1
Sc1 0.619 0.000 0.000 1
Sc2 0.381 0.381 0.000 1
Sc3 0.000 0.619 0.000 1
Tm1 0.239 0.000 0.500 1
Tm2 0.000 0.239 0.500 1
Tm3 0.761 0.761 0.500 1
```

Record 8
Zr3Sc3Bi2Os: relaxed, PBE-GGA.

Computed properties:
Total energy, eV per atom: -7.51
Crystal system: hexagonal
Excess energy over the best structure of this formula in the dataset, kcal/mol of atoms: 0.96

Structure (CIF):
```
data_Zr3Sc3Bi2Os
_cell_length_a 7.853
_cell_length_b 7.853
_cell_length_c 3.807
_cell_angle_alpha 90.00
_cell_angle_beta 90.00
_cell_angle_gamma 120.00
_space_group_name_H-M_alt 'P 1'
_space_group_IT_number 1
_space_group_name_Hall 'P 1'
loop_
_atom_site_label
_atom_site_fract_x
_atom_site_fract_y
_atom_site_fract_z
_atom_site_occupancy
Bi1 0.667 0.333 0.500 1
Bi2 0.333 0.667 0.500 1
Os1 0.000 0.000 0.000 1
Sc1 0.762 0.000 0.500 1
Sc2 0.238 0.238 0.500 1
Sc3 0.000 0.762 0.500 1
Zr1 0.384 0.000 0.000 1
Zr2 0.000 0.384 0.000 1
Zr3 0.616 0.616 0.000 1
```

Record 9
Zr3Sc3Bi2Os: relaxed, PBE-GGA.

Computed properties:
Total energy, eV per atom: -7.55
Crystal system: hexagonal
Excess energy over the best structure of this formula in the dataset, kcal/mol of atoms: 0.00

Structure (CIF):
```
data_Zr3Sc3Bi2Os
_cell_length_a 7.986
_cell_length_b 7.986
_cell_length_c 3.781
_cell_angle_alpha 90.00
_cell_angle_beta 90.00
_cell_angle_gamma 120.00
_space_group_name_H-M_alt 'P 1'
_space_group_IT_number 1
_space_group_name_Hall 'P 1'
loop_
_atom_site_label
_atom_site_fract_x
_atom_site_fract_y
_atom_site_fract_z
_atom_site_occupancy
Bi1 0.667 0.333 0.500 1
Bi2 0.333 0.667 0.500 1
Os1 0.000 0.000 0.000 1
Sc1 0.387 0.000 0.000 1
Sc2 0.000 0.387 0.000 1
Sc3 0.613 0.613 0.000 1
Zr1 0.758 0.000 0.500 1
Zr2 0.242 0.242 0.500 1
Zr3 0.000 0.758 0.500 1
```

Record 10
Bi8Os2Se: relaxed, PBE-GGA.

Computed properties:
Total energy, eV per atom: -4.90
Crystal system: tetragonal

Structure (CIF):
```
data_Bi8Os2Se
_cell_length_a 10.778
_cell_length_b 10.778
_cell_length_c 10.484
_cell_angle_alpha 90.00
_cell_angle_beta 90.00
_cell_angle_gamma 90.00
_space_group_name_H-M_alt 'P 1'
_space_group_IT_number 1
_space_group_name_Hall 'P 1'
loop_
_atom_site_label
_atom_site_fract_x
_atom_site_fract_y
_atom_site_fract_z
_atom_site_occupancy
Bi1 0.846 0.154 0.000 1
Bi2 0.176 0.176 0.000 1
Bi3 0.388 0.388 0.000 1
Bi4 0.612 0.612 0.000 1
Bi5 0.824 0.824 0.000 1
Bi6 0.154 0.846 0.000 1
Bi7 0.544 0.204 0.181 1
Bi8 0.796 0.456 0.181 1
Bi9 0.204 0.544 0.181 1
Bi10 0.456 0.796 0.181 1
Bi11 0.000 0.000 0.217 1
Bi12 0.500 0.500 0.283 1
Bi13 0.296 0.044 0.319 1
Bi14 0.044 0.296 0.319 1
Bi15 0.956 0.704 0.319 1
Bi16 0.704 0.956 0.319 1
Bi17 0.888 0.112 0.500 1
Bi18 0.676 0.324 0.500 1
Bi19 0.346 0.346 0.500 1
Bi20 0.654 0.654 0.500 1
Bi21 0.324 0.676 0.500 1
Bi22 0.112 0.888 0.500 1
Bi23 0.296 0.044 0.681 1
Bi24 0.044 0.296 0.681 1
Bi25 0.956 0.704 0.681 1
Bi26 0.704 0.956 0.681 1
Bi27 0.500 0.500 0.717 1
Bi28 0.000 0.000 0.783 1
Bi29 0.544 0.204 0.819 1
Bi30 0.796 0.456 0.819 1
Bi31 0.204 0.544 0.819 1
Bi32 0.456 0.796 0.819 1
Os1 0.287 0.287 0.236 1
Os2 0.713 0.713 0.236 1
Os3 0.787 0.213 0.264 1
Os4 0.213 0.787 0.264 1
Os5 0.787 0.213 0.736 1
Os6 0.213 0.787 0.736 1
Os7 0.287 0.287 0.764 1
Os8 0.713 0.713 0.764 1
Se1 0.500 0.000 0.000 1
Se2 0.000 0.500 0.000 1
Se3 0.500 0.000 0.500 1
Se4 0.000 0.500 0.500 1
```

Record 11
SiBiOs: relaxed, PBE-GGA.

Computed properties:
Total energy, eV per atom: -6.42
Crystal system: cubic
Excess energy over the best structure of this formula in the dataset, kcal/mol of atoms: 0.00

Structure (CIF):
```
data_SiBiOs
_cell_length_a 4.431
_cell_length_b 4.431
_cell_length_c 4.431
_cell_angle_alpha 60.00
_cell_angle_beta 60.00
_cell_angle_gamma 60.00
_space_group_name_H-M_alt 'P 1'
_space_group_IT_number 1
_space_group_name_Hall 'P 1'
loop_
_atom_site_label
_atom_site_fract_x
_atom_site_fract_y
_atom_site_fract_z
_atom_site_occupancy
Bi1 0.250 0.250 0.250 1
Os1 0.000 0.000 0.000 1
Si1 0.750 0.750 0.750 1
```

Record 12
Sn2Bi2Os3: relaxed, PBE-GGA.

Computed properties:
Total energy, eV per atom: -6.51
Crystal system: trigonal

Structure (CIF):
```
data_Sn2Bi2Os3
_cell_length_a 8.275
_cell_length_b 8.275
_cell_length_c 8.275
_cell_angle_alpha 32.39
_cell_angle_beta 32.39
_cell_angle_gamma 32.39
_space_group_name_H-M_alt 'P 1'
_space_group_IT_number 1
_space_group_name_Hall 'P 1'
loop_
_atom_site_label
_atom_site_fract_x
_atom_site_fract_y
_atom_site_fract_z
_atom_site_occupancy
Bi1 0.004 0.004 0.004 1
Bi2 0.497 0.497 0.497 1
Os1 0.370 0.370 0.370 1
Os2 0.624 0.624 0.624 1
Os3 0.880 0.880 0.880 1
Sn1 0.247 0.247 0.247 1
Sn2 0.752 0.752 0.752 1
```

Record 13
Ta2BiOs: relaxed, PBE-GGA.

Computed properties:
Total energy, eV per atom: -9.16
Crystal system: cubic

Structure (CIF):
```
data_Ta2BiOs
_cell_length_a 4.724
_cell_length_b 4.724
_cell_length_c 4.724
_cell_angle_alpha 60.00
_cell_angle_beta 60.00
_cell_angle_gamma 60.00
_space_group_name_H-M_alt 'P 1'
_space_group_IT_number 1
_space_group_name_Hall 'P 1'
loop_
_atom_site_label
_atom_site_fract_x
_atom_site_fract_y
_atom_site_fract_z
_atom_site_occupancy
Bi1 0.500 0.500 0.500 1
Os1 0.250 0.250 0.250 1
Ta1 0.000 0.000 0.000 1
Ta2 0.750 0.750 0.750 1
```

Record 14
Tc2BiOs: relaxed, PBE-GGA.

Computed properties:
Total energy, eV per atom: -8.22
Crystal system: cubic

Structure (CIF):
```
data_Tc2BiOs
_cell_length_a 4.566
_cell_length_b 4.566
_cell_length_c 4.566
_cell_angle_alpha 60.00
_cell_angle_beta 60.00
_cell_angle_gamma 60.00
_space_group_name_H-M_alt 'P 1'
_space_group_IT_number 1
_space_group_name_Hall 'P 1'
loop_
_atom_site_label
_atom_site_fract_x
_atom_site_fract_y
_atom_site_fract_z
_atom_site_occupancy
Bi1 0.500 0.500 0.500 1
Os1 0.250 0.250 0.250 1
Tc1 0.000 0.000 0.000 1
Tc2 0.750 0.750 0.750 1
```

Record 15
BiTeOs: relaxed, PBE-GGA.

Computed properties:
Total energy, eV per atom: -5.78
Crystal system: cubic

Structure (CIF):
```
data_BiTeOs
_cell_length_a 4.671
_cell_length_b 4.671
_cell_length_c 4.671
_cell_angle_alpha 60.00
_cell_angle_beta 60.00
_cell_angle_gamma 60.00
_space_group_name_H-M_alt 'P 1'
_space_group_IT_number 1
_space_group_name_Hall 'P 1'
loop_
_atom_site_label
_atom_site_fract_x
_atom_site_fract_y
_atom_site_fract_z
_atom_site_occupancy
Bi1 0.250 0.250 0.250 1
Os1 0.000 0.000 0.000 1
Te1 0.750 0.750 0.750 1
```

Record 16
Y3Tm3BiTeOs: relaxed, PBE-GGA.

Computed properties:
Total energy, eV per atom: -6.36
Crystal system: hexagonal

Structure (CIF):
```
data_Y3Tm3BiTeOs
_cell_length_a 8.231
_cell_length_b 8.231
_cell_length_c 4.154
_cell_angle_alpha 90.00
_cell_angle_beta 90.00
_cell_angle_gamma 120.00
_space_group_name_H-M_alt 'P 1'
_space_group_IT_number 1
_space_group_name_Hall 'P 1'
loop_
_atom_site_label
_atom_site_fract_x
_atom_site_fract_y
_atom_site_fract_z
_atom_site_occupancy
Bi1 0.333 0.667 0.000 1
Os1 0.667 0.333 0.500 1
Te1 0.000 0.000 0.000 1
Tm1 0.433 0.101 0.000 1
Tm2 0.899 0.332 0.000 1
Tm3 0.668 0.567 0.000 1
Y1 0.276 0.330 0.500 1
Y2 0.054 0.724 0.500 1
Y3 0.670 0.946 0.500 1
```

Record 17
TlBi5Os3: relaxed, PBE-GGA.

Computed properties:
Total energy, eV per atom: -5.72
Crystal system: hexagonal

Structure (CIF):
```
data_TlBi5Os3
_cell_length_a 5.742
_cell_length_b 5.742
_cell_length_c 8.304
_cell_angle_alpha 90.00
_cell_angle_beta 90.00
_cell_angle_gamma 120.00
_space_group_name_H-M_alt 'P 1'
_space_group_IT_number 1
_space_group_name_Hall 'P 1'
loop_
_atom_site_label
_atom_site_fract_x
_atom_site_fract_y
_atom_site_fract_z
_atom_site_occupancy
Bi1 0.667 0.333 0.220 1
Bi2 0.333 0.667 0.220 1
Bi3 0.000 0.000 0.500 1
Bi4 0.667 0.333 0.780 1
Bi5 0.333 0.667 0.780 1
Os1 0.500 0.000 0.500 1
Os2 0.000 0.500 0.500 1
Os3 0.500 0.500 0.500 1
Tl1 0.000 0.000 0.000 1
```

Record 18
Y3Tm3Bi2Os: relaxed, PBE-GGA.

Computed properties:
Total energy, eV per atom: -6.39
Crystal system: hexagonal
Excess energy over the best structure of this formula in the dataset, kcal/mol of atoms: 0.00

Structure (CIF):
```
data_Y3Tm3Bi2Os
_cell_length_a 8.245
_cell_length_b 8.245
_cell_length_c 4.239
_cell_angle_alpha 90.00
_cell_angle_beta 90.00
_cell_angle_gamma 120.00
_space_group_name_H-M_alt 'P 1'
_space_group_IT_number 1
_space_group_name_Hall 'P 1'
loop_
_atom_site_label
_atom_site_fract_x
_atom_site_fract_y
_atom_site_fract_z
_atom_site_occupancy
Bi1 0.667 0.333 0.000 1
Bi2 0.333 0.667 0.000 1
Os1 0.000 0.000 0.500 1
Tm1 0.770 0.000 0.000 1
Tm2 0.230 0.230 0.000 1
Tm3 0.000 0.770 0.000 1
Y1 0.389 0.000 0.500 1
Y2 0.000 0.389 0.500 1
Y3 0.611 0.611 0.500 1
```

Record 19
Y3Tm3Bi2Os: relaxed, PBE-GGA.

Computed properties:
Total energy, eV per atom: -6.30
Crystal system: hexagonal
Excess energy over the best structure of this formula in the dataset, kcal/mol of atoms: 1.88

Structure (CIF):
```
data_Y3Tm3Bi2Os
_cell_length_a 8.282
_cell_length_b 8.282
_cell_length_c 4.219
_cell_angle_alpha 90.00
_cell_angle_beta 90.00
_cell_angle_gamma 120.00
_space_group_name_H-M_alt 'P 1'
_space_group_IT_number 1
_space_group_name_Hall 'P 1'
loop_
_atom_site_label
_atom_site_fract_x
_atom_site_fract_y
_atom_site_fract_z
_atom_site_occupancy
Bi1 0.667 0.333 0.000 1
Bi2 0.333 0.667 0.000 1
Os1 0.000 0.000 0.500 1
Tm1 0.384 0.000 0.500 1
Tm2 0.000 0.384 0.500 1
Tm3 0.616 0.616 0.500 1
Y1 0.763 0.000 0.000 1
Y2 0.237 0.237 0.000 1
Y3 0.000 0.763 0.000 1
```

Record 20
UBiOs: relaxed, PBE-GGA.

Computed properties:
Total energy, eV per atom: -7.86
Crystal system: cubic

Structure (CIF):
```
data_UBiOs
_cell_length_a 4.814
_cell_length_b 4.814
_cell_length_c 4.814
_cell_angle_alpha 60.00
_cell_angle_beta 60.00
_cell_angle_gamma 60.00
_space_group_name_H-M_alt 'P 1'
_space_group_IT_number 1
_space_group_name_Hall 'P 1'
loop_
_atom_site_label
_atom_site_fract_x
_atom_site_fract_y
_atom_site_fract_z
_atom_site_occupancy
Bi1 0.250 0.250 0.250 1
Os1 0.750 0.750 0.750 1
U1 0.000 0.000 0.000 1
```